# DyErSn

A geometry-optimized DyErSn structure (PBE, the Open Quantum Materials Database).

The value obtained for the energy relative to the lowest polymorph listed for this composition is 0.000 eV per atom. As for the electronic total energy: -57.18 eV per cell.

It has space group F-43m (No. 216), with a = 7.2164 Å, b = 7.2164 Å, c = 7.2164 Å, α = 90.00°, β = 90.00° and γ = 90.00°. The inequivalent atoms are Dy at (0.0000, 0.0000, 0.0000), Er at (0.0000, 0.0000, 0.5000) and Sn at (0.2500, 0.2500, 0.2500).